1.
The following is a DFT calculation (PBE-GGA) of crystalline CrNiRu at its relaxed geometry.

a b c (Å): 5.154 3.630 8.267
angles (deg): 90.00 108.90 90.00
Sites, in units of the cell vectors:
Ru 0.675 0.000 0.341
Ru 0.325 0.000 0.659
Ru 0.675 0.500 0.841
Ru 0.325 0.500 0.159
Cr 0.500 0.500 0.500
Cr 0.500 0.000 0.000
Cr 0.000 0.000 0.000
Cr 0.000 0.500 0.500
Ni 0.166 0.000 0.332
Ni 0.834 0.000 0.668
Ni 0.166 0.500 0.832
Ni 0.834 0.500 0.168

Summary:
Its total moment is 0.0 μB/cell. As for the space-group type: No. 12. As for the excess energy over the best structure of this formula in the dataset: 22 kJ/mol of formula units. The calculation puts the calculated formation energy at 70 meV per atom.

***

2.
The following is a DFT calculation (PBE-GGA) of crystalline CrNiRu at its relaxed geometry.

a b c (Å): 4.538 7.733 4.494
angles (deg): 90.00 110.39 90.00
Last column: magnetic moment on the atom in μB.
Sites, in units of the cell vectors:
Ru 0.500 0.678 0.500  0.08
Ru 0.500 0.178 0.000  0.08
Ru 0.000 0.352 0.000  0.01
Ru 0.000 0.852 0.500  0.01
Cr 0.500 0.020 0.500  1.31
Cr 0.500 0.520 0.000  1.31
Cr 0.500 0.352 0.500  -0.95
Cr 0.500 0.852 0.000  -0.95
Ni 0.000 0.012 0.000  0.04
Ni 0.000 0.512 0.500  0.04
Ni 0.000 0.684 0.000  0.03
Ni 0.000 0.184 0.500  0.03

Summary:
Its total moment is 1.1 μB/cell. As for the space-group type: No. 5. As for the excess energy over the best structure of this formula in the dataset: 33 kJ/mol of formula units. The calculation puts the calculated formation energy at 107 meV per atom.

***

3.
The following is a DFT calculation (PBE-GGA) of crystalline CrNiRu2 at its relaxed geometry.

a b c (Å): 4.471 4.471 4.617
angles (deg): 79.96 79.96 34.36
Last column: magnetic moment on the atom in μB.
Sites, in units of the cell vectors:
Cr 0.250 0.250 0.250  0.28
Ni 0.750 0.750 0.750  0.00
Ru 0.995 0.995 0.002  -0.03
Ru 0.505 0.505 0.498  -0.03

Summary:
Its total moment is 0.2 μB/cell. As for the space-group type: No. 12. The calculation puts the calculated formation energy at 118 meV per atom.

***

4.
The following is a DFT calculation (PBE-GGA) of crystalline CrNiRu at its relaxed geometry.

a b c (Å): 4.469 4.469 4.469
angles (deg): 146.56 131.12 60.52
Sites, in units of the cell vectors:
Ru 0.667 0.667 0.000
Cr 0.999 0.999 0.000
Ni 0.334 0.334 0.000

Summary:
Its total moment is 0.0 μB/cell. As for the space-group type: No. 44. As for the excess energy over the best structure of this formula in the dataset: 24 kJ/mol of formula units. The calculation puts the calculated formation energy at 77 meV per atom.

***

5.
The following is a DFT calculation (PBE-GGA) of crystalline CrNi3Ru at its relaxed geometry.

a b c (Å): 4.163 4.163 4.163
angles (deg): 90.00 90.00 90.00
Last column: magnetic moment on the atom in μB.
Sites, in units of the cell vectors:
Ru 0.500 0.500 0.500  1.54
Cr 0.000 0.000 0.000  0.19
Ni 0.000 0.500 0.000  0.01
Ni 0.000 0.000 0.500  -0.02
Ni 0.500 0.000 0.000  0.15

Summary:
Its total moment is 1.9 μB/cell. As for the space-group type: No. 221. As for the excess energy over the best structure of this formula in the dataset: 528 kJ/mol of formula units. The calculation puts the calculated formation energy at 1309 meV per atom.

***

6.
The following is a DFT calculation (PBE-GGA) of crystalline CrNiRu2 at its relaxed geometry.

a b c (Å): 4.219 4.219 4.219
angles (deg): 60.00 60.00 60.00
Last column: magnetic moment on the atom in μB.
Sites, in units of the cell vectors:
Cr 0.500 0.500 0.500  2.19
Ni 0.750 0.750 0.750  -0.12
Ru 0.000 0.000 0.000  -0.58
Ru 0.250 0.250 0.250  -0.71

Summary:
Its total moment is 0.9 μB/cell. As for the space-group type: No. 216. The calculation puts the calculated formation energy at 349 meV per atom.

***

7.
The following is a DFT calculation (PBE-GGA) of crystalline CrNiRu2 at its relaxed geometry.

a b c (Å): 4.448 4.448 2.685
angles (deg): 90.00 90.00 106.67
Last column: magnetic moment on the atom in μB.
Sites, in units of the cell vectors:
Cr 0.500 0.000 0.500  0.67
Ni 0.000 0.500 0.500  -0.03
Ru 0.000 0.000 0.000  -0.11
Ru 0.500 0.500 0.000  -0.11

Summary:
Its total moment is 0.5 μB/cell. As for the space-group type: No. 65. The calculation puts the calculated formation energy at 122 meV per atom.

***

8.
The following is a DFT calculation (PBE-GGA) of crystalline Cr2NiRu at its relaxed geometry.

a b c (Å): 2.540 2.540 8.047
angles (deg): 90.00 90.00 109.65
Sites, in units of the cell vectors:
Cr 0.000 0.000 0.012
Cr 0.500 0.500 0.248
Ni 0.000 0.000 0.487
Ru 0.500 0.500 0.753

Summary:
Its total moment is 0.0 μB/cell. As for the space-group type: No. 35. The calculation puts the calculated formation energy at 191 meV per atom.

***

9.
The following is a DFT calculation (PBE-GGA) of crystalline CrNiRu2 at its relaxed geometry.

a b c (Å): 8.630 8.630 8.630
angles (deg): 17.63 17.63 17.63
Last column: magnetic moment on the atom in μB.
Sites, in units of the cell vectors:
Cr 0.250 0.250 0.250  -0.11
Ni 0.750 0.750 0.750  0.53
Ru 0.999 0.999 0.999  0.15
Ru 0.501 0.501 0.501  0.15

Summary:
Its total moment is 0.7 μB/cell. As for the space-group type: No. 166. The calculation puts the calculated formation energy at 128 meV per atom.

***

10.
The following is a DFT calculation (PBE-GGA) of crystalline Cr2NiRu at its relaxed geometry.

a b c (Å): 6.477 6.477 5.223
angles (deg): 51.68 51.68 90.00
Sites, in units of the cell vectors:
Ru 0.000 0.000 0.000
Ru 0.750 0.250 0.500
Cr 0.629 0.125 0.250
Cr 0.121 0.625 0.250
Cr 0.375 0.371 0.750
Cr 0.875 0.879 0.750
Ni 0.500 0.500 0.000
Ni 0.250 0.750 0.500

Summary:
Its total moment is 0.0 μB/cell. As for the space-group type: No. 122. The calculation puts the calculated formation energy at 648 meV per atom.

***

11.
The following is a DFT calculation (PBE-GGA) of crystalline Cr2NiRu at its relaxed geometry.

a b c (Å): 4.419 4.419 4.419
angles (deg): 130.75 130.75 72.20
Last column: magnetic moment on the atom in μB.
Sites, in units of the cell vectors:
Cr 0.000 0.000 0.000  -0.48
Cr 0.250 0.750 0.500  0.69
Ni 0.500 0.500 0.000  -0.04
Ru 0.750 0.250 0.500  0.05

Summary:
Its total moment is 0.2 μB/cell. As for the space-group type: No. 119. The calculation puts the calculated formation energy at 93 meV per atom.

***

12.
The following is a DFT calculation (PBE-GGA) of crystalline CrNiRu at its relaxed geometry.

a b c (Å): 7.248 7.248 4.635
angles (deg): 90.00 90.00 141.35
Sites, in units of the cell vectors:
Cr 0.444 0.556 0.241
Cr 0.056 0.944 0.741
Cr 0.556 0.444 0.759
Cr 0.944 0.056 0.259
Ni 0.648 0.852 0.750
Ni 0.852 0.648 0.250
Ni 0.352 0.148 0.250
Ni 0.148 0.352 0.750
Ru 0.218 0.782 0.603
Ru 0.282 0.718 0.103
Ru 0.782 0.218 0.397
Ru 0.718 0.282 0.897

Summary:
Its total moment is 0.0 μB/cell. As for the space-group type: No. 64. As for the excess energy over the best structure of this formula in the dataset: 76 kJ/mol of formula units. The calculation puts the calculated formation energy at 256 meV per atom.

***

13.
The following is a DFT calculation (PBE-GGA) of crystalline Cr4NiRu at its relaxed geometry.

a b c (Å): 4.679 4.679 4.679
angles (deg): 60.00 60.00 60.00
Sites, in units of the cell vectors:
Cr 0.869 0.377 0.377
Cr 0.377 0.377 0.869
Cr 0.377 0.869 0.377
Cr 0.377 0.377 0.377
Ni 0.750 0.750 0.750
Ru 0.000 0.000 0.000

Summary:
Its total moment is 0.0 μB/cell. As for the space-group type: No. 216. The calculation puts the calculated formation energy at 105 meV per atom.

***

14.
The following is a DFT calculation (PBE-GGA) of crystalline Cr2NiRu at its relaxed geometry.

a b c (Å): 2.577 2.577 7.318
angles (deg): 90.00 90.00 90.02
Sites, in units of the cell vectors:
Cr 0.000 0.000 0.006
Cr 0.000 0.000 0.494
Ni 0.500 0.500 0.250
Ru 0.500 0.500 0.750

Summary:
Its total moment is 0.0 μB/cell. As for the space-group type: No. 123. The calculation puts the calculated formation energy at 122 meV per atom.

***

15.
The following is a DFT calculation (PBE-GGA) of crystalline CrNiRu at its relaxed geometry.

a b c (Å): 4.451 4.534 4.895
angles (deg): 117.15 90.00 119.46
Sites, in units of the cell vectors:
Ru 0.103 0.344 0.243
Ru 0.897 0.656 0.757
Cr 0.761 0.678 0.268
Cr 0.239 0.322 0.732
Ni 0.577 0.004 0.753
Ni 0.423 0.996 0.247

Summary:
Its total moment is 0.0 μB/cell. As for the space-group type: No. 2. As for the excess energy over the best structure of this formula in the dataset: 17 kJ/mol of formula units. The calculation puts the calculated formation energy at 52 meV per atom.

***

16.
The following is a DFT calculation (PBE-GGA) of crystalline CrNi2Ru2 at its relaxed geometry.

a b c (Å): 6.825 6.825 2.736
angles (deg): 90.00 90.00 90.00
Sites, in units of the cell vectors:
Ru 0.176 0.676 0.500
Ru 0.676 0.824 0.500
Ru 0.824 0.324 0.500
Ru 0.324 0.176 0.500
Cr 0.000 0.000 0.000
Cr 0.500 0.500 0.000
Ni 0.378 0.878 0.000
Ni 0.878 0.622 0.000
Ni 0.622 0.122 0.000
Ni 0.122 0.378 0.000

Summary:
Its total moment is 0.0 μB/cell. As for the space-group type: No. 127. The calculation puts the calculated formation energy at 365 meV per atom.

***

17.
The following is a DFT calculation (PBE-GGA) of crystalline CrNiRu3 at its relaxed geometry.

a b c (Å): 4.199 4.643 7.024
angles (deg): 109.46 90.00 90.00
Sites, in units of the cell vectors:
Cr 0.250 0.262 0.198
Cr 0.750 0.738 0.802
Ni 0.250 0.871 0.404
Ni 0.750 0.129 0.596
Ru 0.750 0.542 0.399
Ru 0.250 0.458 0.601
Ru 0.750 0.324 0.994
Ru 0.250 0.060 0.792
Ru 0.250 0.676 0.006
Ru 0.750 0.940 0.208

Summary:
Its total moment is 0.0 μB/cell. As for the space-group type: No. 11. As for the excess energy over the best structure of this formula in the dataset: 0 kJ/mol of formula units. The calculation puts the calculated formation energy at 9 meV per atom.

***

18.
The following is a DFT calculation (PBE-GGA) of crystalline CrNiRu at its relaxed geometry.

a b c (Å): 5.681 5.681 2.622
angles (deg): 76.65 76.66 26.69
Sites, in units of the cell vectors:
Cr 0.999 0.999 0.001
Ni 0.339 0.339 0.661
Ru 0.661 0.661 0.339

Summary:
Its total moment is 0.0 μB/cell. As for the space-group type: No. 107. As for the excess energy over the best structure of this formula in the dataset: 33 kJ/mol of formula units. The calculation puts the calculated formation energy at 107 meV per atom.

***

19.
The following is a DFT calculation (PBE-GGA) of crystalline CrNiRu2 at its relaxed geometry.

a b c (Å): 6.584 6.584 5.331
angles (deg): 51.86 51.86 90.00
Sites, in units of the cell vectors:
Ru 0.592 0.125 0.250
Ru 0.158 0.625 0.250
Ru 0.375 0.408 0.750
Ru 0.875 0.842 0.750
Cr 0.500 0.500 0.000
Cr 0.250 0.750 0.500
Ni 0.000 0.000 0.000
Ni 0.750 0.250 0.500

Summary:
Its total moment is 0.0 μB/cell. As for the space-group type: No. 122. The calculation puts the calculated formation energy at 611 meV per atom.

***

20.
The following is a DFT calculation (PBE-GGA) of crystalline CrNiRu2 at its relaxed geometry.

a b c (Å): 5.168 5.168 5.168
angles (deg): 148.73 131.23 59.09
Last column: magnetic moment on the atom in μB.
Sites, in units of the cell vectors:
Cr 0.750 0.250 0.500  1.10
Ni 0.250 0.750 0.500  0.37
Ru 0.968 0.968 0.000  -0.09
Ru 0.532 0.532 0.000  -0.09

Summary:
Its total moment is 1.3 μB/cell. As for the space-group type: No. 71. The calculation puts the calculated formation energy at 276 meV per atom.